The following is a DFT calculation (GGA-PBE) of an optimized crystal structure of NpAgO3.

Cell: 4.245 4.245 4.245 Å, 90.00 90.00 90.00°
Space group Pm-3m (No. 221)
Asymmetric unit:
Np 0.000 0.000 0.000 (multiplicity 1)
Ag 0.500 0.500 0.500 (multiplicity 1)
O 0.000 0.000 0.500 (multiplicity 3)

Summary:
N(E_F) in states/eV per cell: 3.79
Formation energy without anion corrections in eV/atom: -1.984
VASP energy in eV per cell: -40.59